The following is a DFT calculation (PBE) of a relaxed structure of Th4TeSe6.

abc: 9.0006 9.0006 4.1821
angles: 90.00 90.00 120.00
Space group P-6m2 (No. 187)
One atom of each set of equivalent atoms:
1 Th 0.0000 0.0000 0.0000
2 Th 0.0268 0.5134 0.5000
3 Te 0.6667 0.3333 0.0000
4 Se 0.2047 0.4094 0.0000
5 Se 0.2733 0.1366 0.5000

Values from the calculation:
Spin magnetization ... 0.0 Bohr magnetons per cell
VASP energy ... -6.557 eV per atom